[1]
First-principles (GGA-PBE) data for an optimized crystal structure of CsSb2PdI, as listed in the Alexandria database.

Structure (CIF):
```
data_CsSb2PdI
_cell_length_a 5.1251
_cell_length_b 5.1251
_cell_length_c 9.1530
_cell_angle_alpha 90.00
_cell_angle_beta 90.00
_cell_angle_gamma 90.00
_symmetry_space_group_name_H-M 'P 4/m m m'
_symmetry_Int_Tables_number 123
_symmetry_space_group_name_Hall '-P 4 2'
loop_
_atom_site_label
_atom_site_type_symbol
_atom_site_fract_x
_atom_site_fract_y
_atom_site_fract_z
Cs1 Cs 0.0000 0.0000 0.0000
Sb1 Sb 0.0000 0.5000 0.5000
Pd1 Pd 0.5000 0.5000 0.5000
I1 I 0.5000 0.5000 0.0000
```

## Properties
Crystal system ... tetragonal
Excess energy over the best structure of this formula in the dataset ... 0.000 eV per atom

***

[2]
First-principles (GGA-PBE) data for an optimized crystal structure of BaCeNd2, as listed in the Alexandria database.

Structure (CIF):
```
data_BaCeNd2
_cell_length_a 3.7002
_cell_length_b 3.7002
_cell_length_c 10.9930
_cell_angle_alpha 90.00
_cell_angle_beta 90.00
_cell_angle_gamma 90.00
_symmetry_space_group_name_H-M 'P 4/m m m'
_symmetry_Int_Tables_number 123
_symmetry_space_group_name_Hall '-P 4 2'
loop_
_atom_site_label
_atom_site_type_symbol
_atom_site_fract_x
_atom_site_fract_y
_atom_site_fract_z
Ba1 Ba 0.0000 0.0000 0.0000
Ce1 Ce 0.0000 0.0000 0.5000
Nd1 Nd 0.5000 0.5000 0.2899
```

## Properties
Crystal system ... tetragonal
Energy of formation from the pure elements ... 0.562 eV per formula unit
Excess energy over the best structure of this formula in the dataset ... 0.000 eV per atom

***

[3]
First-principles (GGA-PBE) data for an optimized crystal structure of CsAgB3, as listed in the Alexandria database.

Structure (CIF):
```
data_CsAgB3
_cell_length_a 4.5541
_cell_length_b 4.5541
_cell_length_c 4.5541
_cell_angle_alpha 90.00
_cell_angle_beta 90.00
_cell_angle_gamma 90.00
_symmetry_space_group_name_H-M 'P m -3 m'
_symmetry_Int_Tables_number 221
_symmetry_space_group_name_Hall '-P 4 2 3'
loop_
_atom_site_label
_atom_site_type_symbol
_atom_site_fract_x
_atom_site_fract_y
_atom_site_fract_z
Cs1 Cs 0.0000 0.0000 0.0000
Ag1 Ag 0.5000 0.5000 0.5000
B1 B 0.0000 0.5000 0.5000
```

## Properties
Crystal system ... cubic
Energy of formation from the pure elements ... 10.139 eV per formula unit
Excess energy over the best structure of this formula in the dataset ... 0.000 eV per atom

***

[4]
First-principles (GGA-PBE) data for an optimized crystal structure of Ag2SnGe, as listed in the Alexandria database.

Structure (CIF):
```
data_Ag2SnGe
_cell_length_a 4.5117
_cell_length_b 4.5117
_cell_length_c 14.9549
_cell_angle_alpha 90.00
_cell_angle_beta 90.00
_cell_angle_gamma 120.00
_symmetry_space_group_name_H-M 'R 3 m'
_symmetry_Int_Tables_number 160
_symmetry_space_group_name_Hall 'R 3 -2"'
loop_
_atom_site_label
_atom_site_type_symbol
_atom_site_fract_x
_atom_site_fract_y
_atom_site_fract_z
Ag1 Ag 0.0000 0.0000 0.0000
Ag2 Ag 0.0000 0.0000 0.2022
Sn1 Sn 0.0000 0.0000 0.7788
Ge1 Ge 0.0000 0.0000 0.5878
```

## Properties
Crystal system ... trigonal
Energy of formation from the pure elements ... 0.627 eV per formula unit

***

[5]
First-principles (GGA-PBE) data for an optimized crystal structure of SrTe2Br, as listed in the Alexandria database.

Structure (CIF):
```
data_SrTe2Br
_cell_length_a 8.4985
_cell_length_b 4.6433
_cell_length_c 8.8740
_cell_angle_alpha 90.00
_cell_angle_beta 100.18
_cell_angle_gamma 90.00
_symmetry_space_group_name_H-M 'P 1 21/m 1'
_symmetry_Int_Tables_number 11
loop_
_symmetry_equiv_pos_as_xyz
'x,y,z'
'-x,-y,-z'
'-x,y+1/2,-z'
'x,-y+1/2,z'
loop_
_atom_site_label
_atom_site_type_symbol
_atom_site_fract_x
_atom_site_fract_y
_atom_site_fract_z
Sr1 Sr 0.1123 0.2500 0.2198
Te1 Te 0.1346 0.7500 0.5144
Te2 Te 0.3929 0.2500 0.5367
Br1 Br 0.1990 0.7500 0.0251
```

## Properties
Crystal system ... monoclinic
Excess energy over the best structure of this formula in the dataset ... 0.028 eV per atom

***

[6]
First-principles (GGA-PBE) data for an optimized crystal structure of Ac2PrSmSe5, as listed in the Alexandria database.

Structure (CIF):
```
data_Ac2PrSmSe5
_cell_length_a 5.2506
_cell_length_b 5.2506
_cell_length_c 11.1639
_cell_angle_alpha 90.00
_cell_angle_beta 90.00
_cell_angle_gamma 90.00
_symmetry_space_group_name_H-M 'P 4/m m m'
_symmetry_Int_Tables_number 123
_symmetry_space_group_name_Hall '-P 4 2'
loop_
_atom_site_label
_atom_site_type_symbol
_atom_site_fract_x
_atom_site_fract_y
_atom_site_fract_z
Ac1 Ac 0.0000 0.0000 0.2084
Pr1 Pr 0.5000 0.5000 0.5000
Sm1 Sm 0.5000 0.5000 0.0000
Se1 Se 0.0000 0.0000 0.5000
Se2 Se 0.0000 0.5000 0.0000
Se3 Se 0.5000 0.5000 0.2524
```

## Properties
Crystal system ... tetragonal
Uncorrected energy ... -0.1956 hartree per atom

***

[7]
First-principles (GGA-PBE) data for an optimized crystal structure of LiYTe, as listed in the Alexandria database.

Structure (CIF):
```
data_LiYTe
_cell_length_a 4.4257
_cell_length_b 4.4257
_cell_length_c 4.0024
_cell_angle_alpha 90.00
_cell_angle_beta 90.00
_cell_angle_gamma 120.00
_symmetry_space_group_name_H-M 'P -6 m 2'
_symmetry_Int_Tables_number 187
_symmetry_space_group_name_Hall 'P -6 2'
loop_
_atom_site_label
_atom_site_type_symbol
_atom_site_fract_x
_atom_site_fract_y
_atom_site_fract_z
Li1 Li 0.0000 0.0000 0.0000
Y1 Y 0.3333 0.6667 0.5000
Te1 Te 0.6667 0.3333 0.0000
```

## Properties
Crystal system ... hexagonal
Excess energy over the best structure of this formula in the dataset ... 0.000 eV per atom

***

[8]
First-principles (GGA-PBE) data for an optimized crystal structure of Pa2BeSi4Rh3, as listed in the Alexandria database.

Structure (CIF):
```
data_Pa2BeSi4Rh3
_cell_length_a 4.0737
_cell_length_b 4.0737
_cell_length_c 9.8398
_cell_angle_alpha 90.00
_cell_angle_beta 90.00
_cell_angle_gamma 90.00
_symmetry_space_group_name_H-M 'P -4 m 2'
_symmetry_Int_Tables_number 115
loop_
_symmetry_equiv_pos_as_xyz
'x,y,z'
'y,-x,-z'
'-x,-y,z'
'-y,x,-z'
'-x,y,z'
'-y,-x,-z'
'x,-y,z'
'y,x,-z'
loop_
_atom_site_label
_atom_site_type_symbol
_atom_site_fract_x
_atom_site_fract_y
_atom_site_fract_z
Pa1 Pa 0.0000 0.5000 0.2468
Be1 Be 0.5000 0.5000 0.0000
Si1 Si 0.0000 0.0000 0.5000
Si2 Si 0.0000 0.5000 0.8706
Si3 Si 0.5000 0.5000 0.5000
Rh1 Rh 0.0000 0.0000 0.0000
Rh2 Rh 0.0000 0.5000 0.6296
```

## Properties
Crystal system ... tetragonal
Uncorrected energy ... -0.2740 hartree per atom

***

[9]
First-principles (GGA-PBE) data for an optimized crystal structure of InOs3Se, as listed in the Alexandria database.

Structure (CIF):
```
data_InOs3Se
_cell_length_a 4.5573
_cell_length_b 4.5573
_cell_length_c 4.5573
_cell_angle_alpha 90.00
_cell_angle_beta 90.00
_cell_angle_gamma 90.00
_symmetry_space_group_name_H-M 'P m -3 m'
_symmetry_Int_Tables_number 221
_symmetry_space_group_name_Hall '-P 4 2 3'
loop_
_atom_site_label
_atom_site_type_symbol
_atom_site_fract_x
_atom_site_fract_y
_atom_site_fract_z
In1 In 0.0000 0.0000 0.0000
Os1 Os 0.0000 0.5000 0.5000
Se1 Se 0.5000 0.5000 0.5000
```

## Properties
Crystal system ... cubic
Excess energy over the best structure of this formula in the dataset ... 0.000 eV per atom

***

[10]
First-principles (GGA-PBE) data for an optimized crystal structure of TaBr, as listed in the Alexandria database.

Structure (CIF):
```
data_TaBr
_cell_length_a 5.9428
_cell_length_b 6.5856
_cell_length_c 8.6201
_cell_angle_alpha 90.00
_cell_angle_beta 90.00
_cell_angle_gamma 90.00
_symmetry_space_group_name_H-M 'P 21 21 21'
_symmetry_Int_Tables_number 19
loop_
_symmetry_equiv_pos_as_xyz
'x,y,z'
'-x+1/2,-y,z+1/2'
'x+1/2,-y+1/2,-z'
'-x,y+1/2,-z+1/2'
loop_
_atom_site_label
_atom_site_type_symbol
_atom_site_fract_x
_atom_site_fract_y
_atom_site_fract_z
Ta1 Ta 0.0779 0.0924 0.2937
Ta2 Ta 0.2294 0.2350 0.9927
Br1 Br 0.1934 0.5541 0.7825
Br2 Br 0.2246 0.8422 0.0758
```

## Properties
Crystal system ... orthorhombic
Uncorrected energy ... -0.2312 hartree per atom

***

[11]
First-principles (GGA-PBE) data for an optimized crystal structure of BaScMo3, as listed in the Alexandria database.

Structure (CIF):
```
data_BaScMo3
_cell_length_a 4.9869
_cell_length_b 4.9869
_cell_length_c 4.9869
_cell_angle_alpha 90.00
_cell_angle_beta 90.00
_cell_angle_gamma 90.00
_symmetry_space_group_name_H-M 'P m -3 m'
_symmetry_Int_Tables_number 221
_symmetry_space_group_name_Hall '-P 4 2 3'
loop_
_atom_site_label
_atom_site_type_symbol
_atom_site_fract_x
_atom_site_fract_y
_atom_site_fract_z
Ba1 Ba 0.0000 0.0000 0.0000
Sc1 Sc 0.5000 0.5000 0.5000
Mo1 Mo 0.0000 0.0000 0.5000
```

## Properties
Crystal system ... cubic
Energy of formation from the pure elements ... 13.195 eV per formula unit
Excess energy over the best structure of this formula in the dataset ... 0.819 eV per atom

***

[12]
First-principles (GGA-PBE) data for an optimized crystal structure of KPt3, as listed in the Alexandria database.

Structure (CIF):
```
data_KPt3
_cell_length_a 5.9172
_cell_length_b 8.6019
_cell_length_c 2.7707
_cell_angle_alpha 90.00
_cell_angle_beta 90.00
_cell_angle_gamma 90.00
_symmetry_space_group_name_H-M 'C m m m'
_symmetry_Int_Tables_number 65
_symmetry_space_group_name_Hall '-C 2 2'
loop_
_atom_site_label
_atom_site_type_symbol
_atom_site_fract_x
_atom_site_fract_y
_atom_site_fract_z
K1 K 0.0000 0.0000 0.0000
Pt1 Pt 0.0000 0.5000 0.0000
Pt2 Pt 0.2500 0.2500 0.5000
```

## Properties
Crystal system ... orthorhombic
Energy of formation from the pure elements ... 0.932 eV per formula unit
Excess energy over the best structure of this formula in the dataset ... 0.384 eV per atom

***

[13]
First-principles (GGA-PBE) data for an optimized crystal structure of AcLa2TmSe6, as listed in the Alexandria database.

Structure (CIF):
```
data_AcLa2TmSe6
_cell_length_a 7.5826
_cell_length_b 7.5826
_cell_length_c 19.8972
_cell_angle_alpha 90.00
_cell_angle_beta 90.00
_cell_angle_gamma 120.00
_symmetry_space_group_name_H-M 'R 3'
_symmetry_Int_Tables_number 146
_symmetry_space_group_name_Hall 'R 3'
loop_
_atom_site_label
_atom_site_type_symbol
_atom_site_fract_x
_atom_site_fract_y
_atom_site_fract_z
Ac1 Ac 0.0000 0.0000 0.0000
La1 La 0.0000 0.0000 0.2068
La2 La 0.0000 0.0000 0.7134
Tm1 Tm 0.0000 0.0000 0.5093
Se1 Se 0.0132 0.3709 0.7738
Se2 Se 0.0543 0.6776 0.2715
```

## Properties
Crystal system ... trigonal
Uncorrected energy ... -0.2155 hartree per atom

***

[14]
First-principles (GGA-PBE) data for an optimized crystal structure of KCuPb2, as listed in the Alexandria database.

Structure (CIF):
```
data_KCuPb2
_cell_length_a 3.5857
_cell_length_b 3.5857
_cell_length_c 8.7250
_cell_angle_alpha 90.00
_cell_angle_beta 90.00
_cell_angle_gamma 90.00
_symmetry_space_group_name_H-M 'P 4/m m m'
_symmetry_Int_Tables_number 123
_symmetry_space_group_name_Hall '-P 4 2'
loop_
_atom_site_label
_atom_site_type_symbol
_atom_site_fract_x
_atom_site_fract_y
_atom_site_fract_z
K1 K 0.0000 0.0000 0.0000
Cu1 Cu 0.0000 0.0000 0.5000
Pb1 Pb 0.5000 0.5000 0.3172
```

## Properties
Crystal system ... tetragonal
Energy of formation from the pure elements ... 0.270 eV per formula unit

***

[15]
First-principles (GGA-PBE) data for an optimized crystal structure of BeIr2Ru, as listed in the Alexandria database.

Structure (CIF):
```
data_BeIr2Ru
_cell_length_a 2.7576
_cell_length_b 2.7576
_cell_length_c 6.6631
_cell_angle_alpha 90.00
_cell_angle_beta 90.00
_cell_angle_gamma 90.00
_symmetry_space_group_name_H-M 'P 4 m m'
_symmetry_Int_Tables_number 99
loop_
_symmetry_equiv_pos_as_xyz
'x,y,z'
'-y,x,z'
'-x,-y,z'
'y,-x,z'
'-x,y,z'
'y,x,z'
'x,-y,z'
'-y,-x,z'
loop_
_atom_site_label
_atom_site_type_symbol
_atom_site_fract_x
_atom_site_fract_y
_atom_site_fract_z
Be1 Be 0.0000 0.0000 0.0000
Ir1 Ir 0.0000 0.0000 0.5018
Ir2 Ir 0.5000 0.5000 0.2065
Ru1 Ru 0.5000 0.5000 0.7775
```

## Properties
Crystal system ... tetragonal
Energy of formation from the pure elements ... -0.822 eV per formula unit

***

[16]
First-principles (GGA-PBE) data for an optimized crystal structure of Pm2SnP, as listed in the Alexandria database.

Structure (CIF):
```
data_Pm2SnP
_cell_length_a 4.0731
_cell_length_b 4.0731
_cell_length_c 23.5217
_cell_angle_alpha 90.00
_cell_angle_beta 90.00
_cell_angle_gamma 120.00
_symmetry_space_group_name_H-M 'R -3 m'
_symmetry_Int_Tables_number 166
_symmetry_space_group_name_Hall '-R 3 2"'
loop_
_atom_site_label
_atom_site_type_symbol
_atom_site_fract_x
_atom_site_fract_y
_atom_site_fract_z
Pm1 Pm 0.0000 0.0000 0.2368
Sn1 Sn 0.0000 0.0000 0.0000
P1 P 0.0000 0.0000 0.5000
```

## Properties
Crystal system ... trigonal
Energy of formation from the pure elements ... -4.415 eV per formula unit
Excess energy over the best structure of this formula in the dataset ... 0.039 eV per atom

***

[17]
First-principles (GGA-PBE) data for an optimized crystal structure of Ca2Ge2Ir, as listed in the Alexandria database.

Structure (CIF):
```
data_Ca2Ge2Ir
_cell_length_a 6.6975
_cell_length_b 6.6975
_cell_length_c 4.6164
_cell_angle_alpha 90.00
_cell_angle_beta 90.00
_cell_angle_gamma 90.00
_symmetry_space_group_name_H-M 'P 4/m b m'
_symmetry_Int_Tables_number 127
_symmetry_space_group_name_Hall '-P 4 2ab'
loop_
_atom_site_label
_atom_site_type_symbol
_atom_site_fract_x
_atom_site_fract_y
_atom_site_fract_z
Ca1 Ca 0.1769 0.3231 0.0000
Ge1 Ge 0.1362 0.6362 0.5000
Ir1 Ir 0.0000 0.0000 0.5000
```

## Properties
Crystal system ... tetragonal
Energy of formation from the pure elements ... -3.143 eV per formula unit

***

Number 1: DOS(E_F) 1.96 states/eV per cell. Number 2: DOS(E_F) 7.12 states/eV per cell. Number 3: DOS(E_F) 3.30 states/eV per cell. Number 4: DOS(E_F) 4.80 states/eV per cell. Number 5: DOS(E_F) 1.56 states/eV per cell. Number 6: DOS(E_F) 5.12 states/eV per cell. Number 7: DOS(E_F) 0.25 states/eV per cell. Number 8: DOS(E_F) 6.15 states/eV per cell. Number 9: DOS(E_F) 3.39 states/eV per cell. Number 10: DOS(E_F) 10.99 states/eV per cell. Number 11: DOS(E_F) 6.98 states/eV per cell. Number 12: DOS(E_F) 7.61 states/eV per cell. Number 13: DOS(E_F) 0.00 states/eV per cell. Number 14: DOS(E_F) 2.81 states/eV per cell. Number 15: DOS(E_F) 1.98 states/eV per cell. Number 16: DOS(E_F) 4.54 states/eV per cell. Number 17: DOS(E_F) 4.01 states/eV per cell.